Entry 1:
Computed, not measured: crystalline CsCuTe6Au at its relaxed geometry at the PBE-GGA level of DFT.

Calculated values
- Size of the total moment: 0.000 μB per atom
- DFT total energy: -3.131 eV/atom

Unit cell a=10.102 b=8.830 c=9.761 alpha=116.89 beta=121.16 gamma=90.00
Element x y z (fractional)
Cs1 0.899 0.649 0.797
Cs2 0.101 0.351 0.203
Cu1 0.500 0.500 0.000
Cu2 0.500 0.000 0.000
Te1 0.374 0.624 0.747
Te2 0.834 0.084 0.667
Te3 0.819 0.094 0.218
Te4 0.399 0.625 0.218
Te5 0.399 0.094 0.218
Te6 0.819 0.625 0.218
Te7 0.626 0.376 0.253
Te8 0.166 0.916 0.333
Te9 0.181 0.906 0.782
Te10 0.601 0.375 0.782
Te11 0.601 0.906 0.782
Te12 0.181 0.375 0.782
Au1 0.500 0.000 0.500
Au2 0.000 0.000 0.500

***

Entry 2:
Computed, not measured: crystalline CsCu2Te6Au2 at its relaxed geometry at the PBE-GGA level of DFT.

Calculated values
- Size of the total moment: 0.000 μB per atom
- DFT total energy: -3.325 eV/atom

Unit cell a=8.832 b=6.470 c=8.634 alpha=110.78 beta=73.81 gamma=66.96
Element x y z (fractional)
Cs1 0.500 0.000 0.500
Cu1 0.158 0.838 0.840
Cu2 0.842 0.162 0.160
Te1 0.431 0.723 0.921
Te2 0.067 0.330 0.063
Te3 0.077 0.765 0.567
Te4 0.933 0.670 0.937
Te5 0.923 0.235 0.433
Te6 0.569 0.277 0.079
Au1 0.746 0.235 0.747
Au2 0.254 0.765 0.253

***

Entry 3:
Computed, not measured: crystalline CsYCuAu2 at its relaxed geometry at the PBE-GGA level of DFT.

Calculated values
- Size of the total moment: 0.000 μB per atom
- DFT total energy: -3.139 eV/atom
- DFT formation energy: 455 meV per atom

Unit cell a=5.103 b=5.251 c=5.103 alpha=90.00 beta=90.00 gamma=90.00
Element x y z (fractional)
Cs1 0.000 0.500 0.000
Y1 0.500 0.500 0.500
Au1 0.000 0.000 0.500
Au2 0.500 0.000 0.000
Cu1 0.000 0.000 0.000

***

Entry 4:
Computed, not measured: crystalline CsDyAu2I6 at its relaxed geometry at the PBE-GGA level of DFT.

Calculated values
- Size of the total moment: 0.000 μB per atom
- DFT total energy: -2.965 eV/atom

Unit cell a=7.951 b=7.859 c=10.279 alpha=91.41 beta=113.09 gamma=118.95
Element x y z (fractional)
Cs1 0.999 0.499 0.480
Dy1 0.996 0.997 0.980
Au1 0.464 0.727 0.166
Au2 0.528 0.271 0.794
I1 0.558 0.935 0.786
I2 0.436 0.063 0.176
I3 0.836 0.775 0.187
I4 0.139 0.388 0.177
I5 0.857 0.607 0.785
I6 0.154 0.217 0.771